# 1
PrSiRu2C: PBEsol geometry, meta-GGA SCAN.

It has space group Cmcm (No. 63), with a = 3.928 Å, b = 11.009 Å, c = 7.135 Å, α = 90.00°, β = 90.00° and γ = 90.00°. The distinct sites, in fractional coordinates, are Pr at (0.000, 0.051, 0.250), Si at (0.000, 0.228, 0.750), Ru at (0.000, 0.335, 0.059) and C at (0.000, 0.500, 0.000).

The total magnetization comes out at 0.000 μB/atom. As for the energy relative to the elements, uncorrected: -0.630 eV per atom. The total energy is -27.249 eV/atom. For the theoretical density, the calculation gives 8.2 g cm⁻³. As for the density of states at the Fermi level: 2.71 states/eV/f.u.

***

# 2
PtC: PBEsol geometry, meta-GGA SCAN.

It has space group P4/nmm (No. 129, origin choice 2), with a = 3.351 Å, b = 3.351 Å, c = 4.201 Å, α = 90.00°, β = 90.00° and γ = 90.00°. The distinct sites, in fractional coordinates, are Pt at (0.250, 0.250, 0.213) and C at (0.250, 0.750, 0.500).

The total magnetization comes out at 0.000 μB/atom. The total energy is -38.853 eV/atom. The offset from the most stable computed form comes out at 442.9 meV/atom. For the theoretical density, the calculation gives 14.6 g cm⁻³. The value obtained for the calculated formation energy is 1293 meV/atom. As for the density of states at the Fermi level: 0.83 states/eV/f.u.

***

# 3
PtC: PBEsol geometry, meta-GGA SCAN.

It has space group I-4m2 (No. 119), with a = 3.313 Å, b = 3.313 Å, c = 4.642 Å, α = 90.00°, β = 90.00° and γ = 90.00°. The distinct sites, in fractional coordinates, are Pt at (0.000, 0.000, 0.000) and C at (0.000, 0.500, 0.750).

The total magnetization comes out at 0.000 μB/atom. The total energy is -39.296 eV/atom. The offset from the most stable computed form comes out at 0.0 meV/atom. For the theoretical density, the calculation gives 13.5 g cm⁻³. The value obtained for the calculated formation energy is 851 meV/atom. As for the density of states at the Fermi level: 0.86 states/eV/f.u.

***

# 4
PtC: PBEsol geometry, meta-GGA SCAN.

It has space group Fd-3m (No. 227, origin choice 2), with a = 5.750 Å, b = 5.750 Å, c = 5.750 Å, α = 90.00°, β = 90.00° and γ = 90.00°. The distinct sites, in fractional coordinates, are Pt at (0.125, 0.125, 0.125) and C at (0.125, 0.125, 0.625).

The total magnetization comes out at 0.000 μB/atom. The total energy is -37.549 eV/atom. The offset from the most stable computed form comes out at 1747.3 meV/atom. For the theoretical density, the calculation gives 14.5 g cm⁻³. The value obtained for the calculated formation energy is 2598 meV/atom. As for the density of states at the Fermi level: 2.14 states/eV/f.u.

***

# 5
Pt3C: PBEsol geometry, meta-GGA SCAN.

It has space group Imm2 (No. 44), with a = 2.738 Å, b = 8.034 Å, c = 4.790 Å, α = 90.00°, β = 90.00° and γ = 90.00°. The distinct sites, in fractional coordinates, are Pt at (0.000, 0.000, 0.000), Pt at (0.000, 0.181, 0.498) and C at (0.000, 0.500, 0.850).

The total magnetization comes out at 0.000 μB/atom. The total energy is -54.569 eV/atom. For the theoretical density, the calculation gives 18.8 g cm⁻³. The value obtained for the calculated formation energy is 601 meV/atom. As for the density of states at the Fermi level: 1.45 states/eV/f.u.

***

# 6
PtC3: PBEsol geometry, meta-GGA SCAN.

It has space group Pm-3m (No. 221), with a = 4.001 Å, b = 4.001 Å, c = 4.001 Å, α = 90.00°, β = 90.00° and γ = 90.00°. The distinct sites, in fractional coordinates, are Pt at (0.000, 0.000, 0.000) and C at (0.000, 0.000, 0.500).

The total magnetization comes out at 1.000 μB/atom. The total energy is -21.961 eV/atom. The offset from the most stable computed form comes out at 1040.5 meV/atom. For the theoretical density, the calculation gives 6.0 g cm⁻³. The value obtained for the calculated formation energy is 3163 meV/atom. As for the density of states at the Fermi level: 1.90 states/eV/f.u.